[1]
This record from Alexandria describes an optimized crystal structure of MgAl2PH. The functional is PBE.

volume: 16.53 Å³ per atom
raw total energy: -3.371 eV/atom

a b c (Å): 5.1589 5.1589 3.1048
angles (deg): 90.00 90.00 90.00
With the nearest neighbours (Å) after each atom.
Positions (direct):
Mg: 0.0000 0.0000 0.0000  8 Al 3.01, 2 Mg 3.10
Al: 0.0000 0.5000 0.5000  2 P 2.58
Al: 0.5000 0.0000 0.5000  2 P 2.58
P: 0.5000 0.5000 0.5000  2 H 1.55
H: 0.5000 0.5000 0.0000  2 P 1.55



[2]
This record from Alexandria describes an optimized crystal structure of Mg2AlHPd6. The functional is PBE.

volume: 15.18 Å³ per atom
raw total energy: -4.628 eV/atom

a b c (Å): 5.4878 5.5050 6.3310
angles (deg): 66.02 85.97 61.51
With the nearest neighbours (Å) after each atom.
Positions (direct):
Mg: 0.1871 0.4904 0.2766  9 Pd 2.70-3.02
Mg: 0.8129 0.5096 0.7234  9 Pd 2.70-3.02
Al: 0.0000 0.0000 0.5000  6 Pd 2.42-2.58
H: 0.5000 0.0000 0.0000  6 Pd 1.92-2.09
Pd: 0.1613 0.0458 0.1279  1 H 1.92
Pd: 0.3276 0.4752 0.8320  1 H 2.09
Pd: 0.3418 0.0212 0.7053  1 H 2.05
Pd: 0.6582 0.9788 0.2947  1 H 2.05
Pd: 0.6724 0.5248 0.1680  1 H 2.09
Pd: 0.8387 0.9542 0.8721  1 H 1.92